Record 1
An optimized crystal structure of AcSm2Ho4Er. Source: Alexandria via LeMat-Bulk, functional PBE.

Results
E_form: 0.95 kcal/mol of atoms

a = 5.100 Å, b = 5.123 Å, c = 10.141 Å
α = 90.00°, β = 90.00°, γ = 90.00°
Positions (direct):
Ac 0.000 0.000 0.000
Sm 0.000 0.000 0.500
Sm 0.500 0.500 0.000
Ho 0.000 0.500 0.259
Ho 0.000 0.500 0.741
Ho 0.500 0.000 0.259
Ho 0.500 0.000 0.741
Er 0.500 0.500 0.500

***

Record 2
An optimized crystal structure of AcSm2HoEr4. Source: Alexandria via LeMat-Bulk, functional PBE.

Results
E_form: 10.28 kcal/mol of atoms

a = 9.598 Å, b = 9.598 Å, c = 9.598 Å
α = 137.97°, β = 103.52°, γ = 91.34°
Positions (direct):
Ac 0.000 0.000 0.000
Ac 0.500 0.000 0.500
Sm 0.000 0.500 0.500
Sm 0.500 0.000 0.000
Sm 0.500 0.500 0.000
Sm 0.500 0.500 0.500
Ho 0.000 0.000 0.500
Ho 0.000 0.500 0.000
Er 0.238 0.742 0.496
Er 0.246 0.259 0.512
Er 0.246 0.734 0.988
Er 0.254 0.258 0.996
Er 0.746 0.742 0.004
Er 0.754 0.266 0.012
Er 0.754 0.741 0.488
Er 0.762 0.258 0.504

***

Record 3
An optimized crystal structure of AcSmHoEr. Source: Alexandria via LeMat-Bulk, functional PBE.

Results
offset from the most stable computed form: 0 kJ/mol of formula units
E_form: 2.68 kcal/mol of atoms

a = 8.252 Å, b = 8.252 Å, c = 8.252 Å
α = 90.00°, β = 90.00°, γ = 90.00°
Positions (direct):
Ac 0.000 0.000 0.000
Ac 0.000 0.500 0.500
Ac 0.500 0.000 0.500
Ac 0.500 0.500 0.000
Sm 0.000 0.000 0.500
Sm 0.000 0.500 0.000
Sm 0.500 0.000 0.000
Sm 0.500 0.500 0.500
Ho 0.250 0.250 0.750
Ho 0.250 0.750 0.250
Ho 0.750 0.250 0.250
Ho 0.750 0.750 0.750
Er 0.250 0.250 0.250
Er 0.250 0.750 0.750
Er 0.750 0.250 0.750
Er 0.750 0.750 0.250

***

Record 4
An optimized crystal structure of AcSm6HoEr2. Source: Alexandria via LeMat-Bulk, functional PBE.

Results
E_form: 2.87 kcal/mol of atoms

a = 8.982 Å, b = 8.982 Å, c = 9.637 Å
α = 92.79°, β = 92.79°, γ = 117.26°
Positions (direct):
Ac 0.029 0.971 0.750
Ac 0.971 0.029 0.250
Sm 0.008 0.553 0.682
Sm 0.124 0.754 0.055
Sm 0.246 0.876 0.445
Sm 0.290 0.512 0.883
Sm 0.447 0.992 0.818
Sm 0.488 0.710 0.617
Sm 0.512 0.290 0.383
Sm 0.553 0.008 0.182
Sm 0.710 0.488 0.117
Sm 0.754 0.124 0.555
Sm 0.876 0.246 0.945
Sm 0.992 0.447 0.318
Ho 0.413 0.587 0.250
Ho 0.587 0.413 0.750
Er 0.206 0.315 0.548
Er 0.315 0.206 0.048
Er 0.685 0.794 0.952
Er 0.794 0.685 0.452

***

Record 5
An optimized crystal structure of AcTb2HoEr. Source: Alexandria via LeMat-Bulk, functional PBE.

Results
E_form: 1.01 kcal/mol of atoms

a = 6.353 Å, b = 5.803 Å, c = 9.746 Å
α = 90.00°, β = 108.64°, γ = 90.00°
Positions (direct):
Ac 0.137 0.250 0.107
Ac 0.863 0.750 0.893
Tb 0.264 0.750 0.696
Tb 0.338 0.250 0.503
Tb 0.662 0.750 0.497
Tb 0.736 0.250 0.304
Ho 0.480 0.750 0.108
Ho 0.520 0.250 0.892
Er 0.069 0.750 0.313
Er 0.931 0.250 0.687

***

Record 6
An optimized crystal structure of AcTbHo2Er. Source: Alexandria via LeMat-Bulk, functional PBE.

Results
E_form: 1.03 kcal/mol of atoms

a = 6.342 Å, b = 5.790 Å, c = 9.709 Å
α = 90.00°, β = 108.65°, γ = 90.00°
Positions (direct):
Ac 0.069 0.250 0.300
Ac 0.931 0.750 0.700
Tb 0.337 0.750 0.499
Tb 0.663 0.250 0.501
Ho 0.278 0.250 0.708
Ho 0.463 0.250 0.095
Ho 0.537 0.750 0.905
Ho 0.722 0.750 0.292
Er 0.135 0.750 0.096
Er 0.865 0.250 0.904

***

Record 7
An optimized crystal structure of AcTbHo6Er2. Source: Alexandria via LeMat-Bulk, functional PBE.

Results
E_form: 3.06 kcal/mol of atoms

a = 8.861 Å, b = 8.861 Å, c = 9.457 Å
α = 92.45°, β = 92.45°, γ = 117.48°
Positions (direct):
Ac 0.032 0.968 0.750
Ac 0.968 0.032 0.250
Tb 0.412 0.588 0.250
Tb 0.588 0.412 0.750
Ho 0.014 0.554 0.680
Ho 0.128 0.752 0.058
Ho 0.248 0.872 0.442
Ho 0.288 0.512 0.885
Ho 0.446 0.986 0.820
Ho 0.488 0.712 0.615
Ho 0.512 0.288 0.385
Ho 0.554 0.014 0.180
Ho 0.712 0.488 0.115
Ho 0.752 0.128 0.558
Ho 0.872 0.248 0.942
Ho 0.986 0.446 0.320
Er 0.202 0.316 0.550
Er 0.316 0.202 0.050
Er 0.684 0.798 0.950
Er 0.798 0.684 0.450

***

Record 8
An optimized crystal structure of AcTb3Ho6Er2. Source: Alexandria via LeMat-Bulk, functional PBE.

Results
E_form: 0.74 kcal/mol of atoms

a = 6.175 Å, b = 6.175 Å, c = 11.816 Å
α = 94.98°, β = 94.98°, γ = 119.97°
Positions (direct):
Ac 0.000 0.000 0.000
Tb 0.167 0.833 0.500
Tb 0.500 0.500 0.500
Tb 0.833 0.167 0.500
Ho 0.085 0.421 0.254
Ho 0.252 0.252 0.746
Ho 0.421 0.085 0.254
Ho 0.579 0.915 0.746
Ho 0.748 0.748 0.254
Ho 0.915 0.579 0.746
Er 0.333 0.667 0.000
Er 0.667 0.333 0.000

***

Record 9
An optimized crystal structure of AcTb2Ho5Er. Source: Alexandria via LeMat-Bulk, functional PBE.

Results
E_form: 6.50 kcal/mol of atoms

a = 9.797 Å, b = 9.797 Å, c = 9.797 Å
α = 125.66°, β = 125.66°, γ = 80.45°
Positions (direct):
Ac 0.250 0.250 0.000
Ac 0.750 0.750 0.000
Tb 0.113 0.613 0.727
Tb 0.387 0.113 0.500
Tb 0.613 0.887 0.500
Tb 0.887 0.387 0.273
Ho 0.000 0.000 0.000
Ho 0.076 0.168 0.500
Ho 0.168 0.668 0.092
Ho 0.332 0.424 0.500
Ho 0.424 0.924 0.092
Ho 0.500 0.500 0.000
Ho 0.576 0.076 0.908
Ho 0.668 0.576 0.500
Ho 0.832 0.332 0.908
Ho 0.924 0.832 0.500
Er 0.250 0.750 0.500
Er 0.750 0.250 0.500

***

Record 10
An optimized crystal structure of AcTb6Ho2Er3. Source: Alexandria via LeMat-Bulk, functional PBE.

Results
E_form: 0.75 kcal/mol of atoms

a = 6.188 Å, b = 6.188 Å, c = 11.849 Å
α = 94.98°, β = 94.98°, γ = 119.97°
Positions (direct):
Ac 0.000 0.000 0.000
Tb 0.086 0.422 0.255
Tb 0.251 0.251 0.745
Tb 0.422 0.086 0.255
Tb 0.578 0.914 0.745
Tb 0.749 0.749 0.255
Tb 0.914 0.578 0.745
Ho 0.333 0.667 0.000
Ho 0.667 0.333 0.000
Er 0.167 0.833 0.500
Er 0.500 0.500 0.500
Er 0.833 0.167 0.500